The following is a GGA-PBE calculation of a geometry-optimized ErNpRh2 structure, from Alexandria via LeMat-Bulk.

Density of states at the Fermi level = 25.90 states/eV per cell
ΔE to the lowest computed polymorph = 16 meV per atom
Magnetization = 13.6 μB/cell
Crystal system = cubic
Formation energy from the elements = -530 meV/atom

CIF file:
```
data_ErNpRh2
_cell_length_a 6.808
_cell_length_b 6.808
_cell_length_c 6.808
_cell_angle_alpha 90.00
_cell_angle_beta 90.00
_cell_angle_gamma 90.00
_space_group_name_H-M_alt 'F m -3 m'
_space_group_IT_number 225
_space_group_name_Hall '-F 4 2 3'
loop_
_atom_site_label
_atom_site_type_symbol
_atom_site_fract_x
_atom_site_fract_y
_atom_site_fract_z
Er1 Er 0.000 0.000 0.000
Np1 Np 0.000 0.000 0.500
Rh1 Rh 0.250 0.250 0.250
```

The following is a GGA-PBE calculation of a geometry-optimized ErNpRuRh structure, from Alexandria via LeMat-Bulk.

Density of states at the Fermi level = 21.05 states/eV per cell
Magnetization = 12.9 μB/cell
Crystal system = cubic
Formation energy from the elements = -374 meV/atom

CIF file:
```
data_ErNpRuRh
_cell_length_a 6.770
_cell_length_b 6.770
_cell_length_c 6.770
_cell_angle_alpha 90.00
_cell_angle_beta 90.00
_cell_angle_gamma 90.00
_space_group_name_H-M_alt 'F -4 3 m'
_space_group_IT_number 216
_space_group_name_Hall 'F -4 2 3'
loop_
_atom_site_label
_atom_site_type_symbol
_atom_site_fract_x
_atom_site_fract_y
_atom_site_fract_z
Er1 Er 0.000 0.000 0.000
Np1 Np 0.000 0.000 0.500
Ru1 Ru 0.250 0.250 0.250
Rh1 Rh 0.250 0.250 0.750
```

The following is a GGA-PBE calculation of a geometry-optimized Er2NpRu3 structure, from Alexandria via LeMat-Bulk.

Density of states at the Fermi level = 13.23 states/eV per cell
ΔE to the lowest computed polymorph = 344 meV per atom
Magnetization = 3.1 μB/cell
Crystal system = orthorhombic
Formation energy from the elements = 16 meV/atom

CIF file:
```
data_Er2NpRu3
_cell_length_a 3.270
_cell_length_b 5.542
_cell_length_c 13.575
_cell_angle_alpha 90.00
_cell_angle_beta 90.00
_cell_angle_gamma 90.00
_space_group_name_H-M_alt 'I m m m'
_space_group_IT_number 71
_space_group_name_Hall '-I 2 2'
loop_
_atom_site_label
_atom_site_type_symbol
_atom_site_fract_x
_atom_site_fract_y
_atom_site_fract_z
Er1 Er 0.000 0.000 0.168
Np1 Np 0.000 0.000 0.500
Ru1 Ru 0.000 0.500 0.146
Ru2 Ru 0.000 0.500 0.500
```

The following is a GGA-PBE calculation of a geometry-optimized ErNpRu4 structure, from Alexandria via LeMat-Bulk.

Density of states at the Fermi level = 44.94 states/eV per cell
Magnetization = 11.5 μB/cell
Crystal system = cubic
Formation energy from the elements = -148 meV/atom

CIF file:
```
data_ErNpRu4
_cell_length_a 7.503
_cell_length_b 7.503
_cell_length_c 7.503
_cell_angle_alpha 90.00
_cell_angle_beta 90.00
_cell_angle_gamma 90.00
_space_group_name_H-M_alt 'F -4 3 m'
_space_group_IT_number 216
_space_group_name_Hall 'F -4 2 3'
loop_
_atom_site_label
_atom_site_type_symbol
_atom_site_fract_x
_atom_site_fract_y
_atom_site_fract_z
Er1 Er 0.000 0.000 0.000
Np1 Np 0.250 0.250 0.250
Ru1 Ru 0.125 0.125 0.625
```

The following is a GGA-PBE calculation of a geometry-optimized ErNpRu structure, from Alexandria via LeMat-Bulk.

Density of states at the Fermi level = 37.36 states/eV per cell
Magnetization = 22.1 μB/cell
Crystal system = trigonal
Formation energy from the elements = 112 meV/atom

CIF file:
```
data_ErNpRu
_cell_length_a 4.8930
_cell_length_b 4.8930
_cell_length_c 19.8071
_cell_angle_alpha 90.00
_cell_angle_beta 90.00
_cell_angle_gamma 120.00
_space_group_name_H-M_alt 'R -3 m'
_space_group_IT_number 166
_space_group_name_Hall '-R 3 2"'
loop_
_atom_site_label
_atom_site_type_symbol
_atom_site_fract_x
_atom_site_fract_y
_atom_site_fract_z
Er1 Er 0.0000 0.0000 0.1207
Np1 Np 0.0000 0.0000 0.3092
Ru1 Ru 0.0000 0.0000 0.4364
```

The following is a GGA-PBE calculation of a geometry-optimized Er3NpRu8 structure, from Alexandria via LeMat-Bulk.

Density of states at the Fermi level = 41.73 states/eV per cell
Magnetization = 6.5 μB/cell
Crystal system = trigonal
Formation energy from the elements = -238 meV/atom

CIF file:
```
data_Er3NpRu8
_cell_length_a 5.3048
_cell_length_b 5.3048
_cell_length_c 26.0530
_cell_angle_alpha 90.00
_cell_angle_beta 90.00
_cell_angle_gamma 120.00
_space_group_name_H-M_alt 'R 3 m'
_space_group_IT_number 160
_space_group_name_Hall 'R 3 -2"'
loop_
_atom_site_label
_atom_site_type_symbol
_atom_site_fract_x
_atom_site_fract_y
_atom_site_fract_z
Er1 Er 0.0000 0.0000 0.0000
Er2 Er 0.0000 0.0000 0.1245
Er3 Er 0.0000 0.0000 0.6250
Np1 Np 0.0000 0.0000 0.4996
Ru1 Ru 0.0000 0.0000 0.3122
Ru2 Ru 0.0000 0.0000 0.8124
Ru3 Ru 0.9997 0.4998 0.5620
Ru4 Ru 0.0006 0.5003 0.0626
```